VASP calculation (PBE) on crystalline Nd2YBi2O2 at its relaxed geometry.

As for the magnetic moment: 0.000 μB per atom. The value obtained for the total energy is -6.650 eV per atom. Its density of states at the Fermi level is 6.557 states/eV per cell.

It has space group I4/mmm (No. 139), with a = 4.412 Å, b = 4.412 Å, c = 16.864 Å, α = 90.00°, β = 90.00° and γ = 90.00°. Symmetry generates all atoms from Nd at (0.000, 0.000, 0.110), Y at (0.000, 0.000, 0.500), Bi at (0.000, 0.000, 0.309) and O at (0.000, 0.500, 0.000).